## FePRhO2 (PBE+U)

Data for a geometry-optimized FePRhO2 structure.

Unit cell a=3.5644 b=3.5644 c=5.4283 alpha=90.00 beta=90.00 gamma=90.00
Last column: nearest neighbours and their distance in Å.
Space group P4/mmm (No. 123)
One atom of each set of equivalent atoms:
Fe  0.0000  0.0000  0.0000 [1 per cell]  4 O 1.78
P  0.0000  0.0000  0.5000 [1 per cell]  4 Rh 2.52, 2 Fe 2.71
Rh  0.5000  0.5000  0.5000 [1 per cell]  4 P 2.52
O  0.0000  0.5000  0.0000 [2 per cell]  2 Fe 1.78

DOS at the Fermi energy = 4.453 states/eV per cell
excess energy over the best structure of this formula in the dataset = 0.0 meV per atom